# 1
# MgCrP

A geometry-optimized MgCrP structure (GGA-PBE, Alexandria via LeMat-Bulk).

Output
The volume is 14.9 Å³/atom. The raw total energy comes out at -35.69 eV/cell. The calculation puts the mass density at 4.0 g cm⁻³.

Cell: 3.797 3.797 6.180 Å, 90.00 90.00 90.00°
Space group P4/nmm (No. 129, origin choice 2)
Asymmetric unit:
Mg  0.250  0.250  0.158 x2
Cr  0.250  0.750  0.500 x2
P  0.250  0.250  0.733 x2

# 2
# MgCrP2

A geometry-optimized MgCrP2 structure (GGA-PBE, Alexandria via LeMat-Bulk).

Output
The volume is 21.7 Å³/atom. The energy above the most stable polymorph in this dataset comes out at 0.60 eV/f.u. The calculation puts the mass density at 2.7 g cm⁻³.

Cell: 5.628 5.628 10.937 Å, 90.00 90.00 90.00°
Space group I-42d (No. 122)
Asymmetric unit:
Mg  0.000  0.000  0.000 x4
Cr  0.000  0.000  0.500 x4
P  0.202  0.250  0.625 x8

# 3
# MgCr2P

A geometry-optimized MgCr2P structure (GGA-PBE, Alexandria via LeMat-Bulk).

Output
The volume is 13.9 Å³/atom. The energy above the most stable polymorph in this dataset comes out at 0.60 eV/f.u. The calculation puts the mass density at 4.8 g cm⁻³.

Cell: 8.463 2.940 4.552 Å, 90.00 101.20 90.00°
Space group C2/m (No. 12)
Asymmetric unit:
Mg  0.000  0.000  0.000 x2
Cr  0.236  0.000  0.675 x4
P  0.000  0.500  0.500 x2